Entry 1:
Ho3Si3Tc (GGA-PBE, optimized geometry); symmetry = No. 12; uncorrected formation energy = -0.769 eV/atom
1.0
4.1358 0.0000 0.6230
2.0398 5.3279 0.4981
0.1687 0.0465 12.9192
Ho Si Tc
6 6 2
Direct
0.6044 0.7119 0.0792
0.3956 0.2881 0.9208
0.2556 0.2598 0.2291
0.7444 0.7402 0.7709
0.5200 0.3346 0.6253
0.4800 0.6654 0.3747
0.1096 0.8545 0.9264
0.8904 0.1455 0.0736
0.8668 0.7244 0.5421
0.0505 0.1344 0.7645
0.9495 0.8656 0.2355
0.1332 0.2756 0.4579
0.2442 0.9225 0.5891
0.7558 0.0775 0.4109

Entry 2:
Sm3Y6Er2 (GGA-PBE, optimized geometry); symmetry = No. 166; formation energy = 0.107 eV per atom
1.0
-3.6214 0.7837 -4.2942
1.0872 -2.2794 -5.0784
-7.2215 -11.1787 0.3044
Y Sm Er
6 3 2
Direct
0.0921 0.0921 0.7237
0.8136 0.8136 0.5592
0.3745 0.3745 0.8765
0.6255 0.6255 0.1235
0.9079 0.9079 0.2763
0.1864 0.1864 0.4408
0.7177 0.7177 0.8469
0.2823 0.2823 0.1531
0.0000 0.0000 0.0000
0.4596 0.4596 0.6211
0.5404 0.5404 0.3789

Sequential magnetic moment output: 0.0 0.0 Bohr magnetons per cell